Compound: K2AlRu
Source: Alexandria via LeMat-Bulk
Functional: PBE-GGA
Structure: relaxed

abc: 3.034 5.563 5.707
angles: 90.00 90.00 90.00
Space group Pmmm (No. 47)
Symmetry-distinct sites (fractional):
1 K 0.000 0.245 0.000
2 Al 0.500 0.500 0.500
3 Ru 0.500 0.000 0.500

As for the total energy: -0.2121 Ry per atom. The calculation puts the density of states at the Fermi level at 2.810 states/eV per cell. For the energy relative to the elements, the calculation gives 917 meV/atom.

***

Compound: K2AlRu
Source: Alexandria via LeMat-Bulk
Functional: PBE-GGA
Structure: relaxed

abc: 3.753 4.423 11.532
angles: 90.00 90.00 90.00
Space group Cmmm (No. 65)
Symmetry-distinct sites (fractional):
1 K 0.000 0.000 0.232
2 Al 0.000 0.500 0.500
3 Ru 0.000 0.500 0.000

As for the total energy: -0.2092 Ry per atom. The calculation puts the density of states at the Fermi level at 7.006 states/eV per cell. For the energy relative to the elements, the calculation gives 957 meV/atom.

***

Compound: KAlRu
Source: Alexandria via LeMat-Bulk
Functional: PBE-GGA
Structure: relaxed

abc: 3.392 3.392 12.223
angles: 90.00 90.00 90.00
Space group I4mm (No. 107)
Symmetry-distinct sites (fractional):
1 K 0.000 0.000 0.000
2 Al 0.000 0.000 0.737
3 Ru 0.000 0.000 0.274

Its offset from the most stable computed form is 0 kJ/mol of formula units. As for the total energy: -0.3331 Ry per atom. The calculation puts the density of states at the Fermi level at 4.911 states/eV per cell. For the energy relative to the elements, the calculation gives 174 meV/atom.

***

Compound: K2AlRu
Source: Alexandria via LeMat-Bulk
Functional: PBE-GGA
Structure: relaxed

abc: 5.537 11.379 3.072
angles: 90.00 90.00 90.00
Space group Cmmm (No. 65)
Symmetry-distinct sites (fractional):
1 K 0.250 0.250 0.000
2 Al 0.000 0.000 0.500
3 Ru 0.000 0.500 0.500

As for the total energy: -0.2117 Ry per atom. The calculation puts the density of states at the Fermi level at 6.032 states/eV per cell. For the energy relative to the elements, the calculation gives 923 meV/atom.

***

Compound: K2AlRu
Source: Alexandria via LeMat-Bulk
Functional: PBE-GGA
Structure: relaxed

abc: 4.126 5.838 10.304
angles: 90.00 90.00 90.00
Space group Imm2 (No. 44)
Symmetry-distinct sites (fractional):
1 K 0.000 0.000 0.000
2 K 0.000 0.500 0.198
3 Al 0.000 0.000 0.401
4 Ru 0.000 0.500 0.794

As for the total energy: -0.2378 Ry per atom. The calculation puts the density of states at the Fermi level at 7.330 states/eV per cell. For the energy relative to the elements, the calculation gives 568 meV/atom.

***

Compound: K2AlRu
Source: Alexandria via LeMat-Bulk
Functional: PBE-GGA
Structure: relaxed

abc: 4.024 4.024 11.412
angles: 90.00 90.00 90.00
Space group I4/mmm (No. 139)
Symmetry-distinct sites (fractional):
1 K 0.000 0.500 0.250
2 Al 0.000 0.000 0.000
3 Ru 0.000 0.000 0.500

As for the total energy: -0.2179 Ry per atom. The calculation puts the density of states at the Fermi level at 2.893 states/eV per cell. For the energy relative to the elements, the calculation gives 838 meV/atom.

***

Compound: K2AlRu
Source: Alexandria via LeMat-Bulk
Functional: PBE-GGA
Structure: relaxed

abc: 2.905 2.905 11.491
angles: 90.00 90.00 90.00
Space group P4/mmm (No. 123)
Symmetry-distinct sites (fractional):
1 K 0.000 0.000 0.231
2 Al 0.500 0.500 0.500
3 Ru 0.500 0.500 0.000

As for the total energy: -0.2092 Ry per atom. The calculation puts the density of states at the Fermi level at 3.609 states/eV per cell. For the energy relative to the elements, the calculation gives 956 meV/atom.

***

Compound: KAl2Ru
Source: Alexandria via LeMat-Bulk
Functional: PBE-GGA
Structure: relaxed

abc: 3.1125 3.1125 29.2152
angles: 90.00 90.00 120.00
Space group R-3m (No. 166, hexagonal axes)
Symmetry-distinct sites (fractional):
1 K 0.0000 0.0000 0.0000
2 Al 0.0000 0.0000 0.2281
3 Ru 0.0000 0.0000 0.5000

Its offset from the most stable computed form is 92 kJ/mol of formula units. As for the total energy: -0.3183 Ry per atom. The calculation puts the density of states at the Fermi level at 8.143 states/eV per cell. For the energy relative to the elements, the calculation gives 133 meV/atom.